# 1
Li2InAs: PBEsol geometry, meta-GGA SCAN.

Output
- V (Å³ per atom) = 17.860
- formation enthalpy at 0 K (meV per atom) = -418
- calculated density (Mg/m³) = 4.7

Cell lengths 4.1677, 4.3064, 7.9608 Å; angles 90.00, 90.00, 90.00 degrees
Space group Cmmm (No. 65)
Asymmetric unit:
Li (0.0000, 0.0000, 0.2116) [4 per cell]
In (0.0000, 0.5000, 0.5000) [2 per cell]
As (0.0000, 0.5000, 0.0000) [2 per cell]



# 2
CaBr2: PBEsol geometry, meta-GGA SCAN.

Output
- uncorrected formation energy (eV/atom) = -2.177
- V (Å³ per atom) = 37.245
- calculated density (Mg/m³) = 3.0

Cell lengths 4.2077, 18.5335, 5.7312 Å; angles 90.00, 90.00, 90.00 degrees
Space group Cmcm (No. 63)
Asymmetric unit:
Ca (0.0000, 0.1728, 0.2500) [4 per cell]
Br (0.0000, 0.2110, 0.7500) [4 per cell]
Br (0.0000, 0.4219, 0.7500) [4 per cell]



# 3
CoP2IrCl: PBEsol geometry, meta-GGA SCAN.

Output
- uncorrected formation energy (eV/atom) = 1.046
- V (Å³ per atom) = 15.423
- calculated density (Mg/m³) = 7.5

Cell lengths 4.1891, 4.1891, 4.3945 Å; angles 90.00, 90.00, 90.00 degrees
Space group P4/mmm (No. 123)
Asymmetric unit:
Co (0.0000, 0.0000, 0.0000) [1 per cell]
P (0.0000, 0.5000, 0.0000) [2 per cell]
Ir (0.5000, 0.5000, 0.5000) [1 per cell]
Cl (0.0000, 0.0000, 0.5000) [1 per cell]



# 4
Zn4InS6: PBEsol geometry, meta-GGA SCAN.

Output
- uncorrected formation energy (eV/atom) = -0.721
- V (Å³ per atom) = 20.058
- calculated density (Mg/m³) = 4.3

Cell lengths 3.7775, 3.7775, 17.8540 Å; angles 90.00, 90.00, 120.00 degrees
Space group P-3m1 (No. 164)
Asymmetric unit:
Zn (0.3333, 0.6667, 0.1161) [2 per cell]
Zn (0.3333, 0.6667, 0.7087) [2 per cell]
In (0.0000, 0.0000, 0.5000) [1 per cell]
S (0.3333, 0.6667, 0.2482) [2 per cell]
S (0.3333, 0.6667, 0.5792) [2 per cell]
S (0.3333, 0.6667, 0.9250) [2 per cell]



# 5
Li2Ti3MnO8: PBEsol geometry, meta-GGA SCAN.

Output
- uncorrected formation energy (eV/atom) = -2.911
- V (Å³ per atom) = 10.395
- energy relative to the lowest polymorph listed for this composition (meV per atom) = 65
- calculated density (Mg/m³) = 3.9

Cell lengths 5.9025, 5.9025, 14.4698 Å; angles 90.00, 90.00, 120.00 degrees
Space group R-3m (No. 166, hexagonal axes)
Asymmetric unit:
Li (0.0000, 0.0000, 0.1234) [6 per cell]
Ti (0.0000, 0.5000, 0.0000) [9 per cell]
Mn (0.0000, 0.0000, 0.5000) [3 per cell]
O (0.0000, 0.0000, 0.2614) [6 per cell]
O (0.0318, 0.5159, 0.2565) [18 per cell]



# 6
Fe2PbW: PBEsol geometry, meta-GGA SCAN.

Output
- V (Å³ per atom) = 15.564
- formation enthalpy at 0 K (meV per atom) = 553
- calculated density (Mg/m³) = 13.4

Cell lengths 2.9683, 2.9683, 7.0660 Å; angles 90.00, 90.00, 90.00 degrees
Space group P4mm (No. 99)
Asymmetric unit:
Fe (0.0000, 0.0000, 0.0000) [1 per cell]
Fe (0.5000, 0.5000, 0.1810) [1 per cell]
Pb (0.0000, 0.0000, 0.4686) [1 per cell]
W (0.5000, 0.5000, 0.7958) [1 per cell]